# TbSm12Y2

TbSm12Y2 after structural relaxation (PBE-GGA, Alexandria via LeMat-Bulk).

Values from the calculation:
formation energy = 156 meV per atom

Cell: 6.7918 6.7918 24.8239 Å, 90.00 90.00 116.20°
Positions (direct):
1 Tb 0.2500 0.7500 0.9994
2 Tb 0.7500 0.2500 0.0006
3 Sm 0.0011 0.5011 0.8711
4 Sm 0.0014 0.9986 0.0755
5 Sm 0.0176 0.5176 0.4144
6 Sm 0.0221 0.9779 0.5605
7 Sm 0.2500 0.2500 0.1989
8 Sm 0.2500 0.2500 0.3253
9 Sm 0.2500 0.2500 0.6747
10 Sm 0.2500 0.2500 0.8011
11 Sm 0.4779 0.5221 0.5605
12 Sm 0.4824 0.9824 0.4144
13 Sm 0.4986 0.5014 0.0755
14 Sm 0.4989 0.9989 0.8711
15 Sm 0.5011 0.0011 0.1289
16 Sm 0.5014 0.4986 0.9245
17 Sm 0.5176 0.0176 0.5856
18 Sm 0.5221 0.4779 0.4395
19 Sm 0.7500 0.7500 0.1989
20 Sm 0.7500 0.7500 0.3253
21 Sm 0.7500 0.7500 0.6747
22 Sm 0.7500 0.7500 0.8011
23 Sm 0.9779 0.0221 0.4395
24 Sm 0.9824 0.4824 0.5856
25 Sm 0.9986 0.0014 0.9245
26 Sm 0.9989 0.4989 0.1289
27 Y 0.2500 0.7500 0.2660
28 Y 0.2500 0.7500 0.7296
29 Y 0.7500 0.2500 0.2704
30 Y 0.7500 0.2500 0.7340

=====

# Tb3SmY5

Tb3SmY5 after structural relaxation (PBE-GGA, Alexandria via LeMat-Bulk).

Values from the calculation:
formation energy = 61 meV per atom
relative energy among the computed polymorphs = 0.0 meV per atom

Cell: 9.7700 9.7700 7.0470 Å, 90.00 90.00 120.00°
Positions (direct):
1 Tb 0.0000 0.3537 0.2500
2 Tb 0.0000 0.6463 0.7500
3 Tb 0.3537 0.0000 0.2500
4 Tb 0.3537 0.3537 0.7500
5 Tb 0.6463 0.0000 0.7500
6 Tb 0.6463 0.6463 0.2500
7 Sm 0.0000 0.0000 0.0000
8 Sm 0.0000 0.0000 0.5000
9 Y 0.0000 0.3150 0.7500
10 Y 0.0000 0.6850 0.2500
11 Y 0.3150 0.0000 0.7500
12 Y 0.3150 0.3150 0.2500
13 Y 0.3333 0.6667 0.0000
14 Y 0.3333 0.6667 0.5000
15 Y 0.6667 0.3333 0.0000
16 Y 0.6667 0.3333 0.5000
17 Y 0.6850 0.0000 0.2500
18 Y 0.6850 0.6850 0.7500

=====

# TbSm2Y9

TbSm2Y9 after structural relaxation (PBE-GGA, Alexandria via LeMat-Bulk).

Values from the calculation:
formation energy = 23 meV per atom

Cell: 5.0631 5.0631 15.1858 Å, 90.00 90.00 90.00°
Positions (direct):
1 Tb 0.0000 0.0000 0.0000
2 Sm 0.0000 0.0000 0.3330
3 Sm 0.0000 0.0000 0.6670
4 Y 0.0000 0.5000 0.1658
5 Y 0.0000 0.5000 0.5000
6 Y 0.0000 0.5000 0.8342
7 Y 0.5000 0.0000 0.1658
8 Y 0.5000 0.0000 0.5000
9 Y 0.5000 0.0000 0.8342
10 Y 0.5000 0.5000 0.0000
11 Y 0.5000 0.5000 0.3328
12 Y 0.5000 0.5000 0.6672

=====

# Tb4Sm2Y5

Tb4Sm2Y5 after structural relaxation (PBE-GGA, Alexandria via LeMat-Bulk).

Values from the calculation:
formation energy = 150 meV per atom
relative energy among the computed polymorphs = 0.0 meV per atom

Cell: 12.0847 12.0847 8.7598 Å, 96.42 96.42 16.56°
Positions (direct):
1 Tb 0.0455 0.0455 0.3604
2 Tb 0.3230 0.3230 0.5285
3 Tb 0.6770 0.6770 0.4715
4 Tb 0.9545 0.9545 0.6396
5 Sm 0.0908 0.0908 0.7382
6 Sm 0.9092 0.9092 0.2618
7 Y 0.1408 0.1408 0.1187
8 Y 0.2318 0.2318 0.8240
9 Y 0.5000 0.5000 0.0000
10 Y 0.7682 0.7682 0.1760
11 Y 0.8592 0.8592 0.8813

=====

# Tb4Sm2Y5

Tb4Sm2Y5 after structural relaxation (PBE-GGA, Alexandria via LeMat-Bulk).

Values from the calculation:
formation energy = 167 meV per atom
relative energy among the computed polymorphs = 16.6 meV per atom

Cell: 8.9424 8.9424 6.6699 Å, 98.57 98.57 43.99°
Positions (direct):
1 Tb 0.0874 0.0874 0.4049
2 Tb 0.2558 0.2558 0.1967
3 Tb 0.7442 0.7442 0.8033
4 Tb 0.9126 0.9126 0.5951
5 Sm 0.2979 0.2979 0.7028
6 Sm 0.7021 0.7021 0.2972
7 Y 0.1489 0.6718 0.0922
8 Y 0.3282 0.8511 0.9078
9 Y 0.5000 0.5000 0.5000
10 Y 0.6718 0.1489 0.0922
11 Y 0.8511 0.3282 0.9078

=====

# Tb7SmY2

Tb7SmY2 after structural relaxation (PBE-GGA, Alexandria via LeMat-Bulk).

Values from the calculation:
formation energy = 14 meV per atom
relative energy among the computed polymorphs = 0.0 meV per atom

Cell: 6.1767 7.1420 7.9734 Å, 77.10 75.04 73.27°
Positions (direct):
1 Tb 0.0000 0.0000 0.0000
2 Tb 0.1996 0.8006 0.6002
3 Tb 0.3993 0.1001 0.1997
4 Tb 0.4002 0.6002 0.1996
5 Tb 0.5998 0.3998 0.8004
6 Tb 0.6007 0.8999 0.8003
7 Tb 0.8004 0.1994 0.3998
8 Sm 0.0000 0.5000 0.0000
9 Y 0.2015 0.2993 0.5994
10 Y 0.7985 0.7007 0.4006

=====

# TbSmY

TbSmY after structural relaxation (PBE-GGA, Alexandria via LeMat-Bulk).

Values from the calculation:
formation energy = 118 meV per atom
relative energy among the computed polymorphs = 114.1 meV per atom

Cell: 6.3188 6.3188 7.0000 Å, 117.79 117.79 56.03°
Positions (direct):
1 Tb 0.0043 0.0043 0.2537
2 Tb 0.9957 0.9957 0.7463
3 Sm 0.3293 0.3293 0.2403
4 Sm 0.6707 0.6707 0.7597
5 Y 0.3367 0.3367 0.7454
6 Y 0.6633 0.6633 0.2546

=====

# TbSm4Y5

TbSm4Y5 after structural relaxation (PBE-GGA, Alexandria via LeMat-Bulk).

Values from the calculation:
formation energy = 290 meV per atom
relative energy among the computed polymorphs = 103.7 meV per atom

Cell: 7.9662 7.9662 7.9662 Å, 98.88 98.88 133.73°
Positions (direct):
1 Tb 0.0000 0.0000 0.0000
2 Sm 0.1875 0.8839 0.6057
3 Sm 0.2782 0.5818 0.3943
4 Sm 0.5818 0.1875 0.3036
5 Sm 0.8839 0.2782 0.6964
6 Y 0.4620 0.4620 0.0000
7 Y 0.5048 0.8856 0.9229
8 Y 0.5819 0.5048 0.6192
9 Y 0.8856 0.9627 0.3808
10 Y 0.9627 0.5819 0.0771

=====

# TbSm8Y2

TbSm8Y2 after structural relaxation (PBE-GGA, Alexandria via LeMat-Bulk).

Values from the calculation:
formation energy = 16 meV per atom
relative energy among the computed polymorphs = 0.0 meV per atom

Cell: 9.5519 9.5519 8.0813 Å, 104.70 104.70 31.03°
Positions (direct):
1 Tb 0.0000 0.0000 0.0000
2 Sm 0.0908 0.0908 0.4534
3 Sm 0.1817 0.1817 0.9097
4 Sm 0.3636 0.3636 0.8180
5 Sm 0.4544 0.4544 0.2722
6 Sm 0.5456 0.5456 0.7278
7 Sm 0.6364 0.6364 0.1820
8 Sm 0.8183 0.8183 0.0903
9 Sm 0.9092 0.9092 0.5466
10 Y 0.2730 0.2730 0.3642
11 Y 0.7270 0.7270 0.6358

=====

# Tb5Sm5Y2

Tb5Sm5Y2 after structural relaxation (PBE-GGA, Alexandria via LeMat-Bulk).

Values from the calculation:
formation energy = 16 meV per atom

Cell: 8.0353 8.0353 11.3516 Å, 115.14 115.14 36.82°
Positions (direct):
1 Tb 0.0000 0.0000 0.0000
2 Tb 0.0834 0.0834 0.7503
3 Tb 0.1667 0.1667 0.5001
4 Tb 0.8333 0.8333 0.4999
5 Tb 0.9166 0.9166 0.2497
6 Sm 0.2504 0.2504 0.2504
7 Sm 0.4169 0.4169 0.7502
8 Sm 0.5000 0.5000 0.5000
9 Sm 0.5831 0.5831 0.2498
10 Sm 0.7496 0.7496 0.7496
11 Y 0.3337 0.3337 0.0003
12 Y 0.6663 0.6663 0.9997

=====

# Tb3Sm4Y4

Tb3Sm4Y4 after structural relaxation (PBE-GGA, Alexandria via LeMat-Bulk).

Values from the calculation:
formation energy = 128 meV per atom
relative energy among the computed polymorphs = 75.1 meV per atom

Cell: 12.1456 12.1456 12.1456 Å, 162.97 134.79 48.65°
Positions (direct):
1 Tb 0.0000 0.0000 0.0000
2 Tb 0.3912 0.8912 0.5000
3 Tb 0.6088 0.1088 0.5000
4 Sm 0.0356 0.3571 0.6785
5 Sm 0.3213 0.6429 0.6785
6 Sm 0.6787 0.3571 0.3215
7 Sm 0.9644 0.6429 0.3215
8 Y 0.2581 0.2581 0.0000
9 Y 0.3176 0.5000 0.8176
10 Y 0.6824 0.5000 0.1824
11 Y 0.7419 0.7419 0.0000

=====

# Tb6Sm8Y

Tb6Sm8Y after structural relaxation (PBE-GGA, Alexandria via LeMat-Bulk).

Values from the calculation:
formation energy = 124 meV per atom
relative energy among the computed polymorphs = 0.0 meV per atom

Cell: 8.7183 8.7183 8.7183 Å, 63.17 63.17 63.17°
Positions (direct):
1 Tb 0.0389 0.5996 0.7417
2 Tb 0.2583 0.9611 0.4004
3 Tb 0.4004 0.2583 0.9611
4 Tb 0.5996 0.7417 0.0389
5 Tb 0.7417 0.0389 0.5996
6 Tb 0.9611 0.4003 0.2583
7 Sm 0.0774 0.0774 0.0774
8 Sm 0.2190 0.6118 0.2479
9 Sm 0.2479 0.2190 0.6118
10 Sm 0.3882 0.7521 0.7810
11 Sm 0.6118 0.2479 0.2190
12 Sm 0.7521 0.7810 0.3882
13 Sm 0.7810 0.3882 0.7521
14 Sm 0.9226 0.9226 0.9226
15 Y 0.5000 0.5000 0.5000

=====

# TbSm2Y3

TbSm2Y3 after structural relaxation (PBE-GGA, Alexandria via LeMat-Bulk).

Values from the calculation:
formation energy = 115 meV per atom
relative energy among the computed polymorphs = 0.0 meV per atom

Cell: 9.1146 9.1146 14.2714 Å, 116.76 116.76 22.29°
Positions (direct):
1 Tb 0.0629 0.0629 0.1429
2 Tb 0.9371 0.9371 0.8571
3 Sm 0.1567 0.1567 0.9693
4 Sm 0.3192 0.3192 0.6184
5 Sm 0.6808 0.6808 0.3816
6 Sm 0.8434 0.8434 0.0307
7 Y 0.0991 0.0991 0.5259
8 Y 0.2382 0.2382 0.7927
9 Y 0.4621 0.4621 0.2876
10 Y 0.5379 0.5379 0.7124
11 Y 0.7618 0.7618 0.2073
12 Y 0.9009 0.9009 0.4741

=====

# Tb2Sm5Y2

Tb2Sm5Y2 after structural relaxation (PBE-GGA, Alexandria via LeMat-Bulk).

Values from the calculation:
formation energy = 212 meV per atom
relative energy among the computed polymorphs = 76.7 meV per atom

Cell: 10.1285 10.1285 10.1285 Å, 85.00 108.15 140.85°
Positions (direct):
1 Tb 0.0000 0.0000 0.0000
2 Tb 0.0000 0.5000 0.5000
3 Tb 0.9331 0.6887 0.7444
4 Tb 0.9443 0.1887 0.2556
5 Sm 0.0805 0.3766 0.8061
6 Sm 0.0805 0.7744 0.2039
7 Sm 0.3821 0.2933 0.3762
8 Sm 0.3821 0.5059 0.5887
9 Sm 0.3925 0.8837 0.0088
10 Sm 0.5705 0.2744 0.1939
11 Sm 0.5705 0.8766 0.7961
12 Sm 0.8749 0.3837 0.9912
13 Sm 0.9172 0.0059 0.6238
14 Sm 0.9172 0.7933 0.4113
15 Y 0.4765 0.1077 0.6226
16 Y 0.4765 0.3539 0.8689
17 Y 0.4850 0.6077 0.1311
18 Y 0.4850 0.8539 0.3774

=====

# Tb7SmY12

Tb7SmY12 after structural relaxation (PBE-GGA, Alexandria via LeMat-Bulk).

Values from the calculation:
formation energy = 280 meV per atom
relative energy among the computed polymorphs = 0.0 meV per atom

Cell: 8.7221 8.7221 8.7221 Å, 95.23 95.23 95.23°
Positions (direct):
1 Tb 0.0000 0.0000 0.0000
2 Tb 0.1466 0.4160 0.4797
3 Tb 0.4160 0.4797 0.1466
4 Tb 0.4797 0.1466 0.4160
5 Tb 0.5203 0.8534 0.5840
6 Tb 0.5840 0.5203 0.8534
7 Tb 0.8534 0.5840 0.5203
8 Sm 0.5000 0.5000 0.5000
9 Y 0.0205 0.0840 0.3520
10 Y 0.0840 0.3520 0.0205
11 Y 0.1852 0.7498 0.3143
12 Y 0.2502 0.6857 0.8148
13 Y 0.3143 0.1852 0.7498
14 Y 0.3520 0.0205 0.0840
15 Y 0.6480 0.9795 0.9160
16 Y 0.6857 0.8148 0.2502
17 Y 0.7498 0.3143 0.1852
18 Y 0.8148 0.2502 0.6857
19 Y 0.9160 0.6480 0.9795
20 Y 0.9795 0.9160 0.6480

=====

# Tb2SmY2

Tb2SmY2 after structural relaxation (PBE-GGA, Alexandria via LeMat-Bulk).

Values from the calculation:
formation energy = 86 meV per atom
relative energy among the computed polymorphs = 0.0 meV per atom

Cell: 9.3641 9.3641 3.7698 Å, 90.00 90.00 90.00°
Positions (direct):
1 Tb 0.1266 0.3734 0.0000
2 Tb 0.3734 0.8734 0.0000
3 Tb 0.6266 0.1266 0.0000
4 Tb 0.8734 0.6266 0.0000
5 Sm 0.0000 0.0000 0.0000
6 Sm 0.5000 0.5000 0.0000
7 Y 0.1711 0.6711 0.5000
8 Y 0.3289 0.1711 0.5000
9 Y 0.6711 0.8289 0.5000
10 Y 0.8289 0.3289 0.5000

=====

# Tb6SmY3

Tb6SmY3 after structural relaxation (PBE-GGA, Alexandria via LeMat-Bulk).

Values from the calculation:
formation energy = 129 meV per atom
relative energy among the computed polymorphs = 0.0 meV per atom

Cell: 9.0246 9.0246 8.9762 Å, 90.00 90.00 116.54°
Positions (direct):
1 Tb 0.0533 0.9467 0.5000
2 Tb 0.1774 0.4713 0.9869
3 Tb 0.1856 0.3064 0.3154
4 Tb 0.2820 0.7180 0.3770
5 Tb 0.3064 0.1856 0.8154
6 Tb 0.4713 0.1774 0.4869
7 Tb 0.5287 0.8226 0.9869
8 Tb 0.6936 0.8144 0.3154
9 Tb 0.7180 0.2820 0.8770
10 Tb 0.8144 0.6936 0.8154
11 Tb 0.8226 0.5287 0.4869
12 Tb 0.9467 0.0533 0.0000
13 Sm 0.2228 0.7772 0.7433
14 Sm 0.7772 0.2228 0.2433
15 Y 0.0286 0.3205 0.6437
16 Y 0.3205 0.0286 0.1437
17 Y 0.4507 0.5493 0.6303
18 Y 0.5493 0.4507 0.1303
19 Y 0.6795 0.9714 0.6437
20 Y 0.9714 0.6795 0.1437

=====

# Tb7Sm2Y3

Tb7Sm2Y3 after structural relaxation (PBE-GGA, Alexandria via LeMat-Bulk).

Values from the calculation:
formation energy = 72 meV per atom
relative energy among the computed polymorphs = 0.0 meV per atom

Cell: 6.3613 3.5349 17.4946 Å, 90.00 96.08 90.00°
Positions (direct):
1 Tb 0.0000 0.0000 0.0000
2 Tb 0.2253 0.5000 0.1671
3 Tb 0.2562 0.5000 0.4984
4 Tb 0.2736 0.0000 0.8350
5 Tb 0.7264 0.0000 0.1650
6 Tb 0.7438 0.5000 0.5016
7 Tb 0.7747 0.5000 0.8329
8 Sm 0.0590 0.5000 0.6723
9 Sm 0.9410 0.5000 0.3277
10 Y 0.4513 0.0000 0.3417
11 Y 0.5000 0.5000 0.0000
12 Y 0.5487 0.0000 0.6583

=====

# TbSm7Y12

TbSm7Y12 after structural relaxation (PBE-GGA, Alexandria via LeMat-Bulk).

Values from the calculation:
formation energy = 238 meV per atom
relative energy among the computed polymorphs = 0.0 meV per atom

Cell: 8.8195 8.8195 8.8195 Å, 86.12 86.12 86.12°
Positions (direct):
1 Tb 0.0000 0.0000 0.0000
2 Sm 0.0748 0.3971 0.1531
3 Sm 0.1531 0.0748 0.3971
4 Sm 0.3971 0.1531 0.0748
5 Sm 0.5000 0.5000 0.5000
6 Sm 0.6029 0.8469 0.9252
7 Sm 0.8469 0.9252 0.6029
8 Sm 0.9252 0.6029 0.8469
9 Y 0.1358 0.6165 0.4972
10 Y 0.1456 0.2713 0.7447
11 Y 0.2553 0.8544 0.7287
12 Y 0.2713 0.7447 0.1456
13 Y 0.3835 0.5028 0.8642
14 Y 0.4972 0.1358 0.6165
15 Y 0.5028 0.8642 0.3835
16 Y 0.6165 0.4972 0.1358
17 Y 0.7287 0.2553 0.8544
18 Y 0.7447 0.1456 0.2713
19 Y 0.8544 0.7287 0.2553
20 Y 0.8642 0.3835 0.5028

=====

What are the ρ values for these records? In order: 6.9; 6.1; 5.4; 6.3; 6.3; 7.4; 6.7; 6.0; 7.0; 7.3; 6.4; 7.4; 6.0; 6.9; 5.9; 6.5; 7.0; 7.1; 5.6 Mg/m³.